Entry 1:
The following is a PBE calculation of a relaxed Cs2CdO crystal, from Alexandria.

Calculated values
Formation energy without anion corrections in eV/f.u.: -1.97
Space group: No. 122

Cell lengths 9.019, 9.019, 7.556 Å; angles 53.35, 53.35, 90.00 degrees
Sites, in units of the cell vectors:
Cd  0.750  0.250  0.500
Cd  0.000  0.000  0.000
Cs  0.375  0.481  0.750
O  0.500  0.500  0.000
Cs  0.231  0.625  0.250
Cs  0.519  0.125  0.250
Cs  0.875  0.769  0.750
O  0.250  0.750  0.500



Entry 2:
The following is a PBE calculation of a relaxed CsCd3O crystal, from Alexandria.

Calculated values
Formation energy without anion corrections in eV/f.u.: 0.45
Space group: No. 221

Cell lengths 5.269, 5.269, 5.269 Å; angles 90.00, 90.00, 90.00 degrees
Sites, in units of the cell vectors:
O  0.000  0.000  0.000
Cd  0.000  0.500  0.000
Cs  0.500  0.500  0.500
Cd  0.000  0.000  0.500
Cd  0.500  0.000  0.000



Entry 3:
The following is a PBE calculation of a relaxed Cs3CdO2 crystal, from Alexandria.

Calculated values
Polymorph energy (0 for the lowest one) in eV per atom: 0.0451
Formation energy without anion corrections in eV/f.u.: -4.76
Space group: No. 63

Cell lengths 7.050, 7.050, 7.896 Å; angles 90.00, 90.00, 92.21 degrees
Sites, in units of the cell vectors:
O  0.000  0.000  0.500
O  0.613  0.613  0.250
Cs  0.691  0.309  0.500
Cd  0.163  0.163  0.750
O  0.387  0.387  0.750
Cs  0.197  0.197  0.250
O  0.000  0.000  0.000
Cs  0.691  0.309  0.000
Cs  0.803  0.803  0.750
Cd  0.837  0.837  0.250
Cs  0.309  0.691  0.000
Cs  0.309  0.691  0.500



Entry 4:
The following is a PBE calculation of a relaxed CsCdOs2O8 crystal, from Alexandria.

Calculated values
Formation energy without anion corrections in eV/f.u.: -12.50
Space group: No. 155

Cell lengths 5.524, 5.524, 9.893 Å; angles 73.79, 73.79, 60.00 degrees
Sites, in units of the cell vectors:
O  0.898  0.510  0.342
O  0.490  0.102  0.658
O  0.510  0.249  0.342
O  0.751  0.490  0.658
Cs  0.000  0.000  0.000
O  0.102  0.751  0.658
O  0.249  0.898  0.342
Cd  0.500  0.500  0.500
O  0.697  0.697  0.909
O  0.303  0.303  0.091
Os  0.760  0.760  0.720
Os  0.240  0.240  0.280



Entry 5:
The following is a PBE calculation of a relaxed Cs2CdOsO6 crystal, from Alexandria.

Calculated values
Formation energy without anion corrections in eV/f.u.: -11.26
Space group: No. 164

Cell lengths 5.788, 6.570, 6.570 Å; angles 120.00, 90.00, 90.00 degrees
Sites, in units of the cell vectors:
O  0.808  0.731  0.866
Cs  0.819  0.667  0.333
Cd  0.500  0.000  0.000
O  0.192  0.866  0.731
O  0.192  0.866  0.134
O  0.808  0.134  0.866
O  0.192  0.269  0.134
O  0.808  0.134  0.269
Os  0.000  0.000  0.000
Cs  0.181  0.333  0.667



Entry 6:
The following is a PBE calculation of a relaxed CsCdOsO6 crystal, from Alexandria.

Calculated values
Formation energy without anion corrections in eV/f.u.: -8.52
Space group: No. 5

Cell lengths 5.825, 5.875, 6.172 Å; angles 90.61, 90.33, 59.73 degrees
Sites, in units of the cell vectors:
O  0.383  0.568  0.331
Cs  0.018  0.991  0.000
Cd  0.662  0.669  0.500
O  0.557  0.066  0.305
O  0.384  0.049  0.669
O  0.557  0.377  0.695
Os  0.354  0.323  0.500
O  0.043  0.387  0.336
O  0.043  0.570  0.664



Entry 7:
The following is a PBE calculation of a relaxed CsCdPO2 crystal, from Alexandria.

Calculated values
Formation energy without anion corrections in eV/f.u.: 3.98
Space group: No. 123

Cell lengths 4.253, 4.253, 7.127 Å; angles 90.00, 90.00, 90.00 degrees
Sites, in units of the cell vectors:
Cd  0.500  0.500  0.500
Cs  0.000  0.000  0.000
O  0.500  0.000  0.000
P  0.000  0.000  0.500
O  0.000  0.500  0.000



Entry 8:
The following is a PBE calculation of a relaxed CsCdP2O6 crystal, from Alexandria.

Calculated values
Formation energy without anion corrections in eV/f.u.: -17.14
Space group: No. 15

Cell lengths 7.389, 7.389, 7.310 Å; angles 100.56, 100.56, 97.65 degrees
Sites, in units of the cell vectors:
P  0.593  0.803  0.225
Cd  0.676  0.324  0.250
O  0.288  0.348  0.759
O  0.995  0.311  0.201
P  0.803  0.593  0.725
Cs  0.100  0.900  0.250
P  0.197  0.407  0.275
O  0.689  0.005  0.299
O  0.411  0.761  0.077
O  0.348  0.288  0.259
O  0.589  0.239  0.923
P  0.407  0.197  0.775
Cs  0.900  0.100  0.750
Cd  0.324  0.676  0.750
O  0.005  0.689  0.799
O  0.239  0.589  0.423
O  0.652  0.712  0.741
O  0.712  0.652  0.241
O  0.311  0.995  0.701
O  0.761  0.411  0.577



Entry 9:
The following is a PBE calculation of a relaxed Cs2CdPO4 crystal, from Alexandria.

Calculated values
Formation energy without anion corrections in eV/f.u.: -13.41
Space group: No. 70

Cell lengths 5.874, 6.835, 11.937 Å; angles 83.93, 75.76, 64.55 degrees
Sites, in units of the cell vectors:
P  0.250  0.500  0.500
Cs  0.821  0.000  0.357
P  0.500  0.000  0.000
O  0.770  0.850  0.924
Cs  0.571  0.500  0.857
O  0.206  0.350  0.424
Cs  0.929  0.500  0.143
Cd  0.000  0.000  0.000
O  0.370  0.650  0.424
Cd  0.750  0.500  0.500
O  0.307  0.150  0.924
O  0.443  0.350  0.576
O  0.544  0.150  0.076
O  0.380  0.850  0.076
O  0.980  0.650  0.576
Cs  0.179  0.000  0.643



Entry 10:
The following is a PBE calculation of a relaxed CsCdPO4 crystal, from Alexandria.

Calculated values
Formation energy without anion corrections in eV/f.u.: -13.80
Space group: No. 11

Cell lengths 5.569, 5.957, 7.875 Å; angles 90.00, 108.06, 90.00 degrees
Sites, in units of the cell vectors:
O  0.053  0.541  0.324
Cs  0.696  0.750  0.930
O  0.053  0.959  0.324
Cs  0.304  0.250  0.070
O  0.947  0.041  0.676
Cd  0.793  0.750  0.471
P  0.237  0.750  0.351
O  0.947  0.459  0.676
O  0.575  0.250  0.457
Cd  0.207  0.250  0.529
O  0.388  0.750  0.215
O  0.425  0.750  0.543
O  0.612  0.250  0.785
P  0.763  0.250  0.649



Entry 11:
The following is a PBE calculation of a relaxed Cs2CdP2O7 crystal, from Alexandria.

Calculated values
Formation energy without anion corrections in eV/f.u.: -25.63
Space group: No. 62

Cell lengths 5.587, 10.201, 16.682 Å; angles 90.00, 90.00, 90.00 degrees
Sites, in units of the cell vectors:
O  0.522  0.190  0.781
Cs  0.250  0.475  0.608
O  0.250  0.657  0.474
O  0.750  0.326  0.675
O  0.479  0.654  0.908
O  0.522  0.310  0.281
O  0.750  0.174  0.175
O  0.479  0.846  0.408
P  0.250  0.772  0.732
O  0.250  0.603  0.181
O  0.979  0.154  0.592
Cs  0.750  0.975  0.892
Cs  0.750  0.642  0.078
Cd  0.250  0.386  0.191
Cd  0.750  0.614  0.809
P  0.750  0.272  0.768
Cs  0.250  0.025  0.108
O  0.478  0.810  0.219
O  0.979  0.346  0.092
O  0.021  0.846  0.408
O  0.250  0.897  0.681
Cs  0.750  0.858  0.578
Cs  0.750  0.525  0.392
P  0.750  0.238  0.590
O  0.478  0.690  0.719
O  0.022  0.690  0.719
Cs  0.250  0.358  0.922
P  0.250  0.762  0.410
O  0.022  0.810  0.219
O  0.250  0.843  0.974
P  0.750  0.228  0.268
P  0.750  0.262  0.090
Cd  0.250  0.114  0.691
O  0.750  0.397  0.819
O  0.021  0.654  0.908
O  0.750  0.103  0.319
Cs  0.250  0.142  0.422
O  0.521  0.346  0.092
P  0.250  0.738  0.910
O  0.250  0.826  0.825
O  0.978  0.190  0.781
O  0.750  0.343  0.526
P  0.250  0.728  0.232
O  0.750  0.157  0.026
Cd  0.750  0.886  0.309
O  0.521  0.154  0.592
O  0.250  0.674  0.325
O  0.978  0.310  0.281



Entry 12:
The following is a PBE calculation of a relaxed CsCdP3O9 crystal, from Alexandria.

Calculated values
Formation energy without anion corrections in eV/f.u.: -29.40
Space group: No. 62

Cell lengths 7.636, 9.731, 12.860 Å; angles 90.00, 90.00, 90.00 degrees
Sites, in units of the cell vectors:
O  0.049  0.122  0.867
O  0.750  0.706  0.684
O  0.549  0.378  0.367
P  0.250  0.204  0.541
Cd  0.750  0.515  0.277
O  0.914  0.825  0.537
Cd  0.750  0.015  0.223
O  0.250  0.794  0.184
Cs  0.250  0.114  0.083
P  0.750  0.796  0.459
O  0.750  0.905  0.379
O  0.586  0.825  0.537
O  0.549  0.878  0.133
O  0.750  0.405  0.121
P  0.053  0.248  0.351
Cs  0.250  0.614  0.417
O  0.414  0.175  0.463
O  0.750  0.146  0.070
O  0.914  0.325  0.963
O  0.989  0.142  0.275
P  0.053  0.748  0.149
P  0.250  0.704  0.959
O  0.250  0.095  0.621
P  0.447  0.248  0.351
O  0.250  0.595  0.879
O  0.989  0.642  0.225
O  0.451  0.622  0.633
O  0.011  0.858  0.725
O  0.951  0.378  0.367
O  0.414  0.675  0.037
O  0.511  0.142  0.275
O  0.750  0.206  0.816
Cd  0.250  0.985  0.777
Cs  0.750  0.386  0.583
O  0.086  0.175  0.463
O  0.086  0.675  0.037
O  0.511  0.642  0.225
Cd  0.250  0.485  0.723
O  0.951  0.878  0.133
O  0.250  0.854  0.930
O  0.586  0.325  0.963
O  0.250  0.294  0.316
P  0.750  0.296  0.041
O  0.011  0.358  0.775
O  0.250  0.354  0.570
O  0.049  0.622  0.633
Cs  0.750  0.886  0.917
O  0.451  0.122  0.867
P  0.553  0.752  0.649
O  0.489  0.358  0.775
O  0.489  0.858  0.725
O  0.750  0.646  0.430
P  0.947  0.252  0.851
P  0.947  0.752  0.649
P  0.447  0.748  0.149
P  0.553  0.252  0.851